No. 1
Pr4PAuCl2 GGA-PBE optimized geometry; formation energy from raw total energies = -1.325 eV per atom; total magnetic moment = 0.0 μB per formula unit
1.0
4.206 0.000 0.000
0.000 7.241 -0.119
0.000 2.576 7.035
Au Pr Cl P
1 4 2 1
Cartesian
2.103 3.620 -0.059
2.103 6.000 1.807
2.103 3.818 5.110
0.000 7.263 5.167
4.206 2.554 1.749
2.103 1.288 3.518
0.000 2.576 7.035
0.000 4.909 3.458



No. 2
Mo2OsPt GGA-PBE optimized geometry; energy relative to the lowest polymorph listed for this composition = 0.75 eV/f.u.; energy relative to the elements = 0.1 eV/f.u.; total magnetic moment = 0.0 μB per formula unit
1.0
-0.696 -0.394 4.799
1.154 -2.339 4.107
3.561 2.831 1.560
Os Mo Pt
1 2 1
Cartesian
3.015 0.074 7.850
2.032 0.075 5.221
3.539 2.805 1.573
1.005 0.025 2.617



No. 3
YCdBi2 GGA-PBE optimized geometry; energy relative to the elements = -1.0 eV/f.u.; total magnetic moment = 0.0 μB per formula unit
1.0
4.652 0.000 0.000
2.326 4.029 0.000
2.326 1.343 6.846
Y Bi Cd
1 2 1
Cartesian
6.978 4.029 6.837
2.326 1.343 5.152
2.326 1.343 1.676
4.652 2.686 3.451